The following is a GGA-PBE calculation of a relaxed La2Pm12Nd5 crystal, from Alexandria.

```
La2Pm12Nd5
1.0
10.288 -3.748 0.000
10.288 3.748 0.000
-1.667 0.000 8.789
La Pm Nd
2 12 5
direct
0.240 0.760 0.000 La
0.760 0.240 0.000 La
0.064 0.594 0.246 Pm
0.145 0.636 0.641 Pm
0.179 0.179 0.099 Pm
0.364 0.855 0.359 Pm
0.406 0.936 0.754 Pm
0.461 0.461 0.326 Pm
0.539 0.539 0.674 Pm
0.594 0.064 0.246 Pm
0.636 0.145 0.641 Pm
0.821 0.821 0.901 Pm
0.855 0.364 0.359 Pm
0.936 0.406 0.754 Pm
0.000 0.000 0.500 Nd
0.252 0.252 0.502 Nd
0.329 0.329 0.918 Nd
0.671 0.671 0.082 Nd
0.748 0.748 0.498 Nd
```

Output
SG: C2/m, No. 12
Calculated formation energy in eV per formula unit: 2.50

The following is a GGA-PBE calculation of a relaxed LaPm5Nd crystal, from Alexandria.

```
LaPm5Nd
1.0
-2.925 4.423 6.005
2.925 -4.423 6.005
2.925 4.423 -6.005
La Pm Nd
1 5 1
direct
0.000 0.000 0.000 La
0.180 0.500 0.680 Pm
0.248 0.248 0.000 Pm
0.500 0.000 0.500 Pm
0.752 0.752 0.000 Pm
0.820 0.500 0.320 Pm
0.500 0.500 0.000 Nd
```

Output
SG: Immm, No. 71
Calculated formation energy in eV per formula unit: 6.71

The following is a GGA-PBE calculation of a relaxed La4Pm3Nd4 crystal, from Alexandria.

```
La4Pm3Nd4
1.0
-1.834 4.854 11.321
1.834 -4.854 11.321
1.834 4.854 -11.321
La Pm Nd
4 3 4
direct
0.025 0.855 0.170 La
0.315 0.145 0.170 La
0.685 0.855 0.830 La
0.975 0.145 0.830 La
0.000 0.500 0.500 Pm
0.394 0.394 0.000 Pm
0.606 0.606 0.000 Pm
0.264 0.764 0.500 Nd
0.313 0.000 0.313 Nd
0.687 0.000 0.687 Nd
0.736 0.236 0.500 Nd
```

Output
SG: Immm, No. 71
Calculated formation energy in eV per formula unit: 1.30

The following is a GGA-PBE calculation of a relaxed La4Pm2Nd crystal, from Alexandria.

```
La4Pm2Nd
1.0
-4.289 4.289 3.412
4.289 -4.289 3.412
4.289 4.289 -3.412
La Pm Nd
4 2 1
direct
0.234 0.234 0.599 La
0.365 0.766 0.000 La
0.635 0.635 0.401 La
0.766 0.365 0.000 La
0.250 0.750 0.500 Pm
0.750 0.250 0.500 Pm
0.000 0.000 0.000 Nd
```

Output
SG: I-42m, No. 121
Calculated formation energy in eV per formula unit: 1.02

The following is a GGA-PBE calculation of a relaxed LaPm2Nd8 crystal, from Alexandria.

```
LaPm2Nd8
1.0
9.383 -2.605 0.000
9.383 2.605 0.000
-2.168 0.000 7.956
La Pm Nd
1 2 8
direct
0.000 0.000 0.000 La
0.272 0.272 0.364 Pm
0.728 0.728 0.636 Pm
0.091 0.091 0.457 Nd
0.182 0.182 0.909 Nd
0.363 0.363 0.816 Nd
0.454 0.454 0.273 Nd
0.546 0.546 0.727 Nd
0.637 0.637 0.184 Nd
0.818 0.818 0.091 Nd
0.909 0.909 0.543 Nd
```

Output
SG: C2/m, No. 12
Calculated formation energy in eV per formula unit: 0.15

The following is a GGA-PBE calculation of a relaxed La5PmNd4 crystal, from Alexandria.

```
La5PmNd4
1.0
8.956 -1.830 0.000
8.956 1.830 0.000
-0.046 0.000 11.333
La Pm Nd
5 1 4
direct
0.000 0.000 0.000 La
0.326 0.326 0.059 La
0.326 0.326 0.443 La
0.674 0.674 0.557 La
0.674 0.674 0.941 La
0.000 0.000 0.500 Pm
0.150 0.150 0.249 Nd
0.472 0.472 0.251 Nd
0.528 0.528 0.749 Nd
0.850 0.850 0.751 Nd
```

Output
SG: C2/m, No. 12
Calculated formation energy in eV per formula unit: 1.46

The following is a GGA-PBE calculation of a relaxed La12Pm7Nd crystal, from Alexandria.

```
La12Pm7Nd
1.0
6.314 3.646 5.205
-6.314 3.646 5.205
0.000 -7.291 5.205
La Pm Nd
12 7 1
direct
0.014 0.357 0.887 La
0.113 0.986 0.643 La
0.217 0.766 0.359 La
0.234 0.641 0.783 La
0.357 0.887 0.014 La
0.359 0.217 0.766 La
0.641 0.783 0.234 La
0.643 0.113 0.986 La
0.766 0.359 0.217 La
0.783 0.234 0.641 La
0.887 0.014 0.357 La
0.986 0.643 0.113 La
0.000 0.000 0.000 Pm
0.119 0.355 0.436 Pm
0.355 0.436 0.119 Pm
0.436 0.119 0.355 Pm
0.564 0.881 0.645 Pm
0.645 0.564 0.881 Pm
0.881 0.645 0.564 Pm
0.500 0.500 0.500 Nd
```

Output
SG: R-3, No. 148
Calculated formation energy in eV per formula unit: 3.57

The following is a GGA-PBE calculation of a relaxed La2PmNd crystal, from Alexandria.

```
La2PmNd
1.0
3.716 0.000 0.000
0.000 3.716 0.000
0.000 0.000 10.384
La Pm Nd
2 1 1
direct
0.000 0.000 0.249 La
0.000 0.000 0.751 La
0.500 0.500 0.000 Pm
0.500 0.500 0.500 Nd
```

Output
SG: P4/mmm, No. 123
Calculated formation energy in eV per formula unit: 0.06